TlTe2As after structural relaxation. Source: Alexandria via LeMat-Bulk, functional PBE.

Values from the calculation:
- DOS(E_F): 2.37 states/eV/cell
- Uncorrected formation energy: 280 meV/atom

a = 5.3644 Å, b = 5.3644 Å, c = 5.3644 Å
α = 60.00°, β = 60.00°, γ = 60.00°
With the nearest neighbours (Å) after each atom.
Sites, in units of the cell vectors:
1 Tl 0.0000 0.0000 0.0000  8 Te 3.29
2 Te 0.2500 0.2500 0.2500  4 Tl 3.29, 4 As 3.29
3 Te 0.7500 0.7500 0.7500  4 As 3.29, 4 Tl 3.29
4 As 0.5000 0.5000 0.5000  8 Te 3.29